An optimized crystal structure of RbHgI2. Source: the Alexandria database, functional GGA-PBE.

Cell and atoms, written as extended XYZ:
```
16
Lattice="8.950 0.000 0.000 0.000 10.346 0.000 -3.593 0.000 8.756" Properties=species:S:1:pos:R:3 pbc="T T T"
Rb 0.354 1.402 4.163
Rb -1.443 3.771 8.541
Rb 6.799 6.575 0.215
Rb 5.003 8.945 4.593
Hg 0.509 7.113 5.725
Hg 2.305 8.407 1.347
Hg 3.051 1.940 7.408
Hg 4.848 3.234 3.031
I -2.433 7.184 7.429
I -0.637 8.335 3.051
I 3.385 0.807 1.988
I 1.588 4.366 6.366
I 3.768 5.980 2.390
I 1.972 9.539 6.768
I 5.993 2.011 5.705
I 7.790 3.162 1.327
```

E above lowest polymorph: 0 meV/atom


An optimized crystal structure of K2ScCo. Source: the Alexandria database, functional GGA-PBE.

Cell and atoms, written as extended XYZ:
```
4
Lattice="3.738 0.000 0.000 0.000 3.448 0.000 -1.793 0.000 10.557" Properties=species:S:1:pos:R:3 pbc="T T T"
K 0.000 0.000 0.000
K 0.029 1.724 6.405
Sc 1.883 0.000 3.240
Co 0.015 1.724 3.109
```

E above lowest polymorph: 0 meV/atom


An optimized crystal structure of LaSn2Pd3. Source: the Alexandria database, functional GGA-PBE.

Cell and atoms, written as extended XYZ:
```
18
Lattice="8.892 -2.191 0.000 8.892 2.191 0.000 -3.376 0.000 9.970" Properties=species:S:1:pos:R:3 pbc="T T T"
La 0.000 0.000 0.000
La 0.422 0.000 6.978
La 13.985 0.000 2.991
Sn 3.079 0.000 1.276
Sn 4.569 0.000 5.466
Sn 7.508 0.000 2.200
Sn 6.899 0.000 7.770
Sn 9.839 0.000 4.504
Sn 11.328 0.000 8.694
Pd -0.391 0.000 3.408
Pd 2.479 0.000 3.886
Pd 5.571 0.000 0.338
Pd 4.061 0.000 8.094
Pd 7.204 0.000 4.985
Pd 10.347 0.000 1.875
Pd 8.836 0.000 9.632
Pd 11.929 0.000 6.083
Pd 14.798 0.000 6.562
```


An optimized crystal structure of KB2SbPd. Source: the Alexandria database, functional GGA-PBE.

Cell and atoms, written as extended XYZ:
```
5
Lattice="4.293 0.000 0.000 0.000 4.293 0.000 0.000 0.000 5.735" Properties=species:S:1:pos:R:3 pbc="T T T"
K 0.000 0.000 0.000
B 0.000 2.146 2.868
B 2.146 0.000 2.868
Sb 2.146 2.146 0.000
Pd 2.146 2.146 2.868
```


| no. | total energy (eV/atom) |
| --- | --- |
| 1 | -1.891 |
| 2 | -3.548 |
| 3 | -5.505 |
| 4 | -3.808 |